one:
# Na3ScAu

Crystalline Na3ScAu at its relaxed geometry (GGA-PBE, Alexandria via LeMat-Bulk).

Cell lengths 5.5034, 5.5034, 5.5034 Å; angles 90.00, 90.00, 90.00 degrees
With the nearest neighbours (Å) after each atom.
Element x y z (fractional)
Na: 0.5000 0.0000 0.0000  2 Au 2.75
Na: 0.0000 0.5000 0.0000  2 Au 2.75
Na: 0.0000 0.0000 0.5000  2 Au 2.75
Sc: 0.5000 0.5000 0.5000  12 Na 3.89
Au: 0.0000 0.0000 0.0000  6 Na 2.75

Properties
As for the space group: No. 221.

two:
# Na3ScAu

Crystalline Na3ScAu at its relaxed geometry (GGA-PBE, Alexandria via LeMat-Bulk).

Cell lengths 6.1503, 6.1503, 6.1503 Å; angles 90.00, 90.00, 90.00 degrees
With the nearest neighbours (Å) after each atom.
Element x y z (fractional)
Au: 0.5000 0.5000 0.5000  12 Na 4.35
Na: 0.0000 0.0000 0.5000  2 Sc 3.08
Na: 0.0000 0.5000 0.0000  2 Sc 3.08
Na: 0.5000 0.0000 0.0000  2 Sc 3.08
Sc: 0.0000 0.0000 0.0000  6 Na 3.08

Properties
As for the space group: No. 221.

Energies relative to the most stable structure, in kJ/mol of atoms: one 0.0; two 59.0.

one:
# NaSc3Au

Crystalline NaSc3Au at its relaxed geometry (GGA-PBE, Alexandria via LeMat-Bulk).

Cell lengths 5.2929, 5.2929, 5.2929 Å; angles 90.00, 90.00, 90.00 degrees
With the nearest neighbours (Å) after each atom.
Element x y z (fractional)
Sc: 0.0000 0.0000 0.5000  2 Au 2.65
Sc: 0.5000 0.0000 0.0000  2 Au 2.65
Sc: 0.0000 0.5000 0.0000  2 Au 2.65
Na: 0.5000 0.5000 0.5000  12 Sc 3.74
Au: 0.0000 0.0000 0.0000  6 Sc 2.65

Properties
As for the space group: No. 221.

two:
# NaSc3Au

Crystalline NaSc3Au at its relaxed geometry (GGA-PBE, Alexandria via LeMat-Bulk).

Cell lengths 5.0651, 5.0651, 5.0651 Å; angles 90.00, 90.00, 90.00 degrees
With the nearest neighbours (Å) after each atom.
Element x y z (fractional)
Sc: 0.0000 0.0000 0.5000  2 Na 2.53
Sc: 0.0000 0.5000 0.0000  2 Na 2.53
Sc: 0.5000 0.0000 0.0000  2 Na 2.53
Au: 0.5000 0.5000 0.5000  12 Sc 3.58
Na: 0.0000 0.0000 0.0000  6 Sc 2.53

Properties
As for the space group: No. 221.

Energies relative to the most stable structure, in kJ/mol of atoms: one 0.0; two 86.2.

one:
# Na3AuSe4

Crystalline Na3AuSe4 at its relaxed geometry (GGA-PBE, Alexandria via LeMat-Bulk).

Cell lengths 4.5751, 5.9734, 8.7127 Å; angles 110.05, 105.22, 90.00 degrees
With the nearest neighbours (Å) after each atom.
Element x y z (fractional)
Na: 0.1940 0.1940 0.3881  6 Se 2.97-3.17
Na: 0.8060 0.8060 0.6119  6 Se 2.97-3.17
Na: 0.0000 0.5000 0.0000  8 Se 3.34
Se: 0.3743 0.6130 0.7486  1 Au 2.52
Se: 0.6257 0.3870 0.2514  1 Au 2.52
Se: 0.6257 0.8644 0.2514  1 Au 2.52
Se: 0.3743 0.1356 0.7486  1 Au 2.52
Au: 0.5000 0.0000 0.0000  4 Se 2.52

Properties
As for the space group: No. 71.

two:
# Na3AuSe4

Crystalline Na3AuSe4 at its relaxed geometry (GGA-PBE, Alexandria via LeMat-Bulk).

Cell lengths 6.5678, 8.5942, 8.3236 Å; angles 90.00, 90.00, 90.00 degrees
With the nearest neighbours (Å) after each atom.
Element x y z (fractional)
Na: 0.9325 0.9796 0.5000  4 Se 3.13-3.22, 1 Au 3.27
Na: 0.4325 0.0204 0.0000  4 Se 3.13-3.22, 1 Au 3.27
Na: 0.5167 0.4502 0.7662  3 Se 2.84-3.01
Na: 0.0167 0.5499 0.7338  3 Se 2.84-3.01
Na: 0.0167 0.5498 0.2662  3 Se 2.84-3.01
Na: 0.5167 0.4501 0.2338  3 Se 2.84-3.01
Se: 0.8247 0.4006 0.0000  1 Au 2.42
Se: 0.3247 0.5994 0.5000  1 Au 2.42
Se: 0.1961 0.2015 0.7327  1 Se 2.47
Se: 0.1961 0.2015 0.2673  1 Se 2.47
Se: 0.6961 0.7985 0.7673  1 Se 2.47
Se: 0.6961 0.7985 0.2327  1 Se 2.47
Se: 0.4220 0.1602 0.5000  2 Se 2.47, 1 Au 2.47
Se: 0.9220 0.8398 0.0000  2 Se 2.47, 1 Au 2.47
Au: 0.4106 0.8728 0.5000  2 Se 2.42-2.47
Au: 0.9106 0.1272 0.0000  2 Se 2.42-2.47

Properties
As for the space group: No. 31.

Energies relative to the most stable structure, in kJ/mol of atoms: one 0.0; two 1.7.

one:
# NaSiAu2

Crystalline NaSiAu2 at its relaxed geometry (GGA-PBE, Alexandria via LeMat-Bulk).

Cell lengths 5.8354, 7.0219, 7.5182 Å; angles 90.00, 90.00, 90.00 degrees
With the nearest neighbours (Å) after each atom.
Element x y z (fractional)
Au: 0.0950 0.5485 0.8209  3 Si 2.49-2.75
Au: 0.9050 0.4515 0.1791  3 Si 2.49-2.75
Au: 0.5950 0.4515 0.6791  3 Si 2.49-2.75
Au: 0.5950 0.0485 0.6791  3 Si 2.49-2.75
Au: 0.9050 0.0485 0.1791  3 Si 2.49-2.75
Au: 0.4050 0.5485 0.3209  3 Si 2.49-2.75
Au: 0.0950 0.9515 0.8209  3 Si 2.49-2.75
Au: 0.4050 0.9515 0.3209  3 Si 2.49-2.75
Na: 0.8738 0.7500 0.4829  3 Si 3.01-3.13, 8 Au 3.04-3.31
Na: 0.1262 0.2500 0.5171  3 Si 3.01-3.13, 8 Au 3.04-3.31
Na: 0.6262 0.7500 0.9829  3 Si 3.01-3.13, 8 Au 3.04-3.31
Na: 0.3738 0.2500 0.0171  3 Si 3.01-3.13, 8 Au 3.04-3.31
Si: 0.3739 0.7500 0.6337  6 Au 2.49-2.75
Si: 0.6261 0.2500 0.3663  6 Au 2.49-2.75
Si: 0.1261 0.7500 0.1337  6 Au 2.49-2.75
Si: 0.8739 0.2500 0.8663  6 Au 2.49-2.75

Properties
As for the space group: No. 62.

two:
# NaSiAu2

Crystalline NaSiAu2 at its relaxed geometry (GGA-PBE, Alexandria via LeMat-Bulk).

Cell lengths 4.6462, 4.6462, 4.6462 Å; angles 60.00, 60.00, 60.00 degrees
With the nearest neighbours (Å) after each atom.
Element x y z (fractional)
Na: 0.0000 0.0000 0.0000  8 Au 2.85
Si: 0.5000 0.5000 0.5000  8 Au 2.85
Au: 0.2500 0.2500 0.2500  4 Na 2.85, 4 Si 2.85
Au: 0.7500 0.7500 0.7500  4 Si 2.85, 4 Na 2.85

Properties
As for the space group: No. 225.

three:
# NaSiAu2

Crystalline NaSiAu2 at its relaxed geometry (GGA-PBE, Alexandria via LeMat-Bulk).

Cell lengths 3.8814, 3.8814, 7.0842 Å; angles 74.10, 74.10, 60.00 degrees
With the nearest neighbours (Å) after each atom.
Element x y z (fractional)
Na: 0.5000 0.5000 0.5000  6 Au 3.10
Au: 0.2726 0.2726 0.1822  3 Si 2.55
Au: 0.7274 0.7274 0.8178  3 Si 2.55
Si: 0.0000 0.0000 0.0000  6 Au 2.55

Properties
As for the space group: No. 166.

Energies relative to the most stable structure, in kJ/mol of atoms: one 0.0; two 22.0; three 21.1.

one:
# NaSiAu2

Crystalline NaSiAu2 at its relaxed geometry (GGA-PBE, Alexandria via LeMat-Bulk).

Cell lengths 4.3376, 4.3376, 5.8669 Å; angles 68.31, 68.31, 60.00 degrees
With the nearest neighbours (Å) after each atom.
Element x y z (fractional)
Au: 0.2897 0.2897 0.1310  3 Si 2.66, 3 Au 2.83
Au: 0.0390 0.0390 0.8831  3 Si 2.54, 3 Au 2.83
Si: 0.6799 0.6799 0.9604  6 Au 2.54-2.66
Na: 0.4915 0.4915 0.5255  1 Si 3.00, 7 Au 3.14-3.26

Properties
As for the space group: No. 160.

two:
# NaSiAu2

Crystalline NaSiAu2 at its relaxed geometry (GGA-PBE, Alexandria via LeMat-Bulk).

Cell lengths 5.3741, 5.3741, 8.8442 Å; angles 72.31, 72.31, 90.00 degrees
With the nearest neighbours (Å) after each atom.
Element x y z (fractional)
Au: 0.8746 0.1250 0.2500  2 Si 2.41, 2 Au 2.69
Au: 0.8754 0.6250 0.2500  2 Si 2.41, 2 Au 2.69
Au: 0.8750 0.1246 0.7500  2 Si 2.41, 2 Au 2.69
Au: 0.3750 0.1254 0.7500  2 Si 2.41, 2 Au 2.69
Na: 0.5000 0.5000 0.0000  8 Au 3.61, 4 Si 3.80
Na: 0.2500 0.7500 0.5000  8 Au 3.61, 4 Si 3.80
Si: 0.0000 0.0000 0.0000  4 Au 2.41
Si: 0.7500 0.2500 0.5000  4 Au 2.41

Properties
As for the space group: No. 141.

Energies relative to the most stable structure, in kJ/mol of atoms: one 0.0; two 3.6.

one:
# NaSiAu3

Crystalline NaSiAu3 at its relaxed geometry (GGA-PBE, Alexandria via LeMat-Bulk).

Cell lengths 4.3741, 6.7883, 7.0622 Å; angles 105.65, 90.00, 108.79 degrees
With the nearest neighbours (Å) after each atom.
Element x y z (fractional)
Au: 0.7260 0.4519 0.3332  1 Si 2.52
Au: 0.9325 0.8651 0.6451  2 Si 2.51
Au: 0.0675 0.1349 0.3549  2 Si 2.51
Au: 0.6252 0.2504 0.6689  1 Si 2.46
Au: 0.2740 0.5481 0.6668  1 Si 2.52
Au: 0.3748 0.7496 0.3311  1 Si 2.46
Si: 0.5240 0.0479 0.1766  1 Si 2.39, 4 Au 2.46-2.52
Si: 0.4760 0.9521 0.8234  1 Si 2.39, 4 Au 2.46-2.52
Na: 0.8457 0.6914 0.0066  8 Au 3.06-3.19, 4 Si 3.15-3.24, 2 Na 3.27
Na: 0.1543 0.3086 0.9934  8 Au 3.06-3.19, 4 Si 3.15-3.24, 2 Na 3.27

Properties
As for the space group: No. 12.

two:
# NaSiAu3

Crystalline NaSiAu3 at its relaxed geometry (GGA-PBE, Alexandria via LeMat-Bulk).

Cell lengths 4.8284, 4.8815, 4.8815 Å; angles 102.39, 90.00, 90.00 degrees
With the nearest neighbours (Å) after each atom.
Element x y z (fractional)
Na: 0.5000 0.0000 0.0000  2 Au 3.06
Au: 0.0000 0.5000 0.0000  2 Si 2.44
Au: 0.5000 0.5000 0.5000  2 Si 2.41
Au: 0.0000 0.0000 0.5000  2 Si 2.44
Si: 0.0000 0.5000 0.5000  6 Au 2.41-2.44

Properties
As for the space group: No. 65.

Energies relative to the most stable structure, in kJ/mol of atoms: one 0.0; two 2.1.

one:
# NaSiAu3

Crystalline NaSiAu3 at its relaxed geometry (GGA-PBE, Alexandria via LeMat-Bulk).

Cell lengths 9.0573, 9.0573, 9.0573 Å; angles 90.00, 90.00, 90.00 degrees
With the nearest neighbours (Å) after each atom.
Element x y z (fractional)
Au: 0.2732 0.6288 0.4057  2 Si 2.48-2.63
Au: 0.7732 0.8712 0.5943  2 Si 2.48-2.63
Au: 0.2268 0.3712 0.9057  2 Si 2.48-2.63
Au: 0.5943 0.7268 0.3712  2 Si 2.48-2.63
Au: 0.6288 0.0943 0.7732  2 Si 2.48-2.63
Au: 0.0943 0.7732 0.6288  2 Si 2.48-2.63
Au: 0.7268 0.1288 0.0943  2 Si 2.48-2.63
Au: 0.4057 0.2732 0.6288  2 Si 2.48-2.63
Au: 0.1288 0.4057 0.2268  2 Si 2.48-2.63
Au: 0.1288 0.0943 0.7268  2 Si 2.48-2.63
Au: 0.8712 0.9057 0.2732  2 Si 2.48-2.63
Au: 0.9057 0.2268 0.3712  2 Si 2.48-2.63
Au: 0.3712 0.9057 0.2268  2 Si 2.48-2.63
Au: 0.0943 0.7268 0.1288  2 Si 2.48-2.63
Au: 0.2732 0.8712 0.9057  2 Si 2.48-2.63
Au: 0.3712 0.5943 0.7268  2 Si 2.48-2.63
Au: 0.7732 0.6288 0.0943  2 Si 2.48-2.63
Au: 0.6288 0.4057 0.2732  2 Si 2.48-2.63
Au: 0.7268 0.3712 0.5943  2 Si 2.48-2.63
Au: 0.8712 0.5943 0.7732  2 Si 2.48-2.63
Au: 0.9057 0.2732 0.8712  2 Si 2.48-2.63
Au: 0.5943 0.7732 0.8712  2 Si 2.48-2.63
Au: 0.2268 0.1288 0.4057  2 Si 2.48-2.63
Au: 0.4057 0.2268 0.1288  2 Si 2.48-2.63
Na: 0.5969 0.0969 0.4031  1 Na 3.04, 12 Au 3.05-3.37, 3 Si 3.23
Na: 0.9031 0.9031 0.9031  1 Na 3.04, 12 Au 3.05-3.37, 3 Si 3.23
Na: 0.0969 0.0969 0.0969  1 Na 3.04, 12 Au 3.05-3.37, 3 Si 3.23
Na: 0.4031 0.9031 0.5969  1 Na 3.04, 12 Au 3.05-3.37, 3 Si 3.23
Na: 0.5969 0.4031 0.9031  1 Na 3.04, 12 Au 3.05-3.37, 3 Si 3.23
Na: 0.9031 0.5969 0.4031  1 Na 3.04, 12 Au 3.05-3.37, 3 Si 3.23
Na: 0.4031 0.5969 0.0969  1 Na 3.04, 12 Au 3.05-3.37, 3 Si 3.23
Na: 0.0969 0.4031 0.5969  1 Na 3.04, 12 Au 3.05-3.37, 3 Si 3.23
Si: 0.6235 0.8765 0.1235  6 Au 2.48-2.63
Si: 0.8765 0.1235 0.6235  6 Au 2.48-2.63
Si: 0.8765 0.3765 0.1235  6 Au 2.48-2.63
Si: 0.3765 0.1235 0.8765  6 Au 2.48-2.63
Si: 0.3765 0.3765 0.3765  6 Au 2.48-2.63
Si: 0.6235 0.6235 0.6235  6 Au 2.48-2.63
Si: 0.1235 0.8765 0.3765  6 Au 2.48-2.63
Si: 0.1235 0.6235 0.8765  6 Au 2.48-2.63

Properties
As for the space group: No. 205.

two:
# NaSiAu3

Crystalline NaSiAu3 at its relaxed geometry (GGA-PBE, Alexandria via LeMat-Bulk).

Cell lengths 4.9125, 4.9125, 4.9125 Å; angles 90.00, 90.00, 90.00 degrees
With the nearest neighbours (Å) after each atom.
Element x y z (fractional)
Au: 0.5000 0.0000 0.0000  2 Na 2.46
Au: 0.0000 0.5000 0.0000  2 Na 2.46
Au: 0.0000 0.0000 0.5000  2 Na 2.46
Si: 0.5000 0.5000 0.5000  12 Au 3.47
Na: 0.0000 0.0000 0.0000  6 Au 2.46

Properties
As for the space group: No. 221.

Energies relative to the most stable structure, in kJ/mol of atoms: one 0.0; two 126.1.

one:
# NaSiAu4

Crystalline NaSiAu4 at its relaxed geometry (GGA-PBE, Alexandria via LeMat-Bulk).

Cell lengths 5.7181, 6.4372, 8.6322 Å; angles 103.39, 125.58, 81.35 degrees
With the nearest neighbours (Å) after each atom.
Element x y z (fractional)
Au: 0.7490 0.4055 0.1438  1 Si 2.48, 2 Au 2.72-2.75
Au: 0.9710 0.0722 0.3443  2 Si 2.51-2.75, 1 Au 2.75
Au: 0.0290 0.9278 0.6557  2 Si 2.51-2.75, 1 Au 2.75
Au: 0.2801 0.6527 0.4194  2 Si 2.47-2.48
Au: 0.5091 0.7970 0.2305  1 Si 2.42
Au: 0.2510 0.5945 0.8562  1 Si 2.48, 2 Au 2.72-2.75
Au: 0.4909 0.2030 0.7695  1 Si 2.42
Au: 0.7199 0.3473 0.5806  2 Si 2.47-2.48
Na: 0.7772 0.7757 0.9321  5 Au 3.04-3.39
Na: 0.2228 0.2243 0.0679  5 Au 3.04-3.39
Si: 0.0000 0.5000 0.5000  6 Au 2.47-2.75
Si: 0.5000 0.0000 0.5000  6 Au 2.42-2.51

Properties
As for the space group: No. 2.

two:
# NaSiAu4

Crystalline NaSiAu4 at its relaxed geometry (GGA-PBE, Alexandria via LeMat-Bulk).

Cell lengths 4.6227, 5.7686, 9.8991 Å; angles 90.00, 103.50, 90.00 degrees
With the nearest neighbours (Å) after each atom.
Element x y z (fractional)
Au: 0.2066 0.4868 0.4133  1 Si 2.50, 1 Au 2.73
Au: 0.2066 0.0132 0.4133  1 Si 2.50, 1 Au 2.73
Au: 0.0000 0.0000 0.0000  2 Si 2.46
Au: 0.0000 0.5000 0.0000  2 Si 2.46
Au: 0.7934 0.9868 0.5867  1 Si 2.50, 1 Au 2.73
Au: 0.7934 0.5132 0.5867  1 Si 2.50, 1 Au 2.73
Au: 0.6530 0.7500 0.3061  2 Si 2.50
Au: 0.3470 0.2500 0.6939  2 Si 2.50
Si: 0.8964 0.2500 0.7929  6 Au 2.46-2.50
Si: 0.1036 0.7500 0.2071  6 Au 2.46-2.50
Na: 0.5991 0.2500 0.1982  10 Au 3.07-3.39
Na: 0.4009 0.7500 0.8018  10 Au 3.07-3.39

Properties
As for the space group: No. 63.

Energies relative to the most stable structure, in kJ/mol of atoms: one 4.3; two 0.0.